[1]
BaSrZn2 | PBE | optimized geometry

Computed properties:
Space-group type = R3m, No. 160
Formation energy = -0.1866 eV/atom
Mass density = 3.953 g/cm3

a b c (Å): 8.4640 8.4640 8.4640
angles (deg): 31.79 31.79 31.79
Last column: nearest neighbours and their distance in Å.
Sites, in units of the cell vectors:
Ba 0.0000 0.0000 0.0000  6 Zn 3.45-3.46
Sr 0.1717 0.1717 0.1717  6 Zn 3.31
Zn 0.4241 0.4241 0.4241  3 Zn 2.68
Zn 0.7572 0.7572 0.7572  3 Zn 2.68

***

[2]
Rb3GaHg | PBE | optimized geometry

Computed properties:
Space-group type = Pm-3m, No. 221
Formation energy = 0.1438 eV/atom
Relative energy among the computed polymorphs = 0.00 eV per formula unit
Mass density = 2.645 g/cm3

a b c (Å): 6.9154 6.9154 6.9154
angles (deg): 90.00 90.00 90.00
Last column: nearest neighbours and their distance in Å.
Sites, in units of the cell vectors:
Rb 0.0000 0.0000 0.5000  2 Ga 3.46
Rb 0.0000 0.5000 0.0000  2 Ga 3.46
Rb 0.5000 0.0000 0.0000  2 Ga 3.46
Ga 0.0000 0.0000 0.0000  6 Rb 3.46
Hg 0.5000 0.5000 0.5000  12 Rb 4.89

***

[3]
Hg5Cl2O2 | PBE | optimized geometry

Computed properties:
Space-group type = P-1, No. 2
E_form (uncorrected) = -320.5 meV/atom
Mass density = 7.280 g/cm3

a b c (Å): 3.8819 6.3196 10.3431
angles (deg): 94.59 93.01 92.73
Last column: nearest neighbours and their distance in Å.
Sites, in units of the cell vectors:
Hg 0.0000 0.0000 0.0000  2 O 2.03
Hg 0.2145 0.8656 0.3975  3 Hg 3.10-3.30
Hg 0.2514 0.5518 0.1525  1 O 2.13
Hg 0.7486 0.4482 0.8475  1 O 2.13
Hg 0.7855 0.1344 0.6025  3 Hg 3.10-3.30
Cl 0.3768 0.6846 0.7429  1 Hg 2.41
Cl 0.6232 0.3154 0.2571  1 Hg 2.41
O 0.1498 0.2885 0.9422  2 Hg 2.03-2.13
O 0.8502 0.7115 0.0578  2 Hg 2.03-2.13

***

[4]
FeSn2Ge | PBE | optimized geometry

Computed properties:
Space-group type = I-42d, No. 122
Formation energy = 0.4481 eV/atom
Mass density = 6.966 g/cm3

a b c (Å): 10.1694 10.1694 10.1694
angles (deg): 155.95 155.95 34.27
Last column: nearest neighbours and their distance in Å.
Sites, in units of the cell vectors:
Fe 0.0000 0.0000 0.0000  4 Sn 2.84, 4 Ge 3.00
Fe 0.7500 0.2500 0.5000  4 Sn 2.84, 4 Ge 3.00
Sn 0.1159 0.6250 0.9909  2 Fe 2.84, 2 Ge 2.87, 4 Sn 2.94-3.05
Sn 0.3750 0.3659 0.4909  2 Fe 2.84, 2 Ge 2.87, 4 Sn 2.94-3.05
Sn 0.6341 0.1250 0.0091  2 Fe 2.84, 2 Ge 2.87, 4 Sn 2.94-3.05
Sn 0.8750 0.8841 0.5091  2 Fe 2.84, 2 Ge 2.87, 4 Sn 2.94-3.05
Ge 0.2500 0.7500 0.5000  4 Sn 2.87, 4 Fe 3.00
Ge 0.5000 0.5000 0.0000  4 Sn 2.87, 4 Fe 3.00

***

[5]
TaFeIr2Pd | PBE | optimized geometry

Computed properties:
Space-group type = P4/mmm, No. 123
Formation energy = 1.7645 eV/atom
Mass density = 11.274 g/cm3

a b c (Å): 4.7338 4.7338 4.7827
angles (deg): 90.00 90.00 90.00
Last column: nearest neighbours and their distance in Å.
Sites, in units of the cell vectors:
Ta 0.0000 0.0000 0.0000  4 Ir 2.37, 2 Pd 2.39
Fe 0.5000 0.5000 0.5000  4 Pd 3.35, 8 Ir 3.36
Ir 0.0000 0.5000 0.0000  2 Ta 2.37
Ir 0.5000 0.0000 0.0000  2 Ta 2.37
Pd 0.0000 0.0000 0.5000  2 Ta 2.39

***

[6]
GdMgNi | PBE | optimized geometry

Computed properties:
Space-group type = I4mm, No. 107
Formation energy = -0.1776 eV/atom
Mass density = 6.387 g/cm3

a b c (Å): 6.1411 6.1411 6.1411
angles (deg): 148.66 148.66 44.91
Last column: nearest neighbours and their distance in Å.
Sites, in units of the cell vectors:
Gd 0.0000 0.0000 0.0000  4 Ni 2.86, 1 Mg 3.10
Mg 0.2734 0.2734 0.0000  4 Ni 2.76
Ni 0.6445 0.6445 0.0000  4 Mg 2.76, 4 Gd 2.86